CsSbI2F after structural relaxation. Source: Alexandria via LeMat-Bulk, functional PBE.

Geometry as extended XYZ:
```
5
Lattice="6.491 0.000 0.000 0.000 6.491 0.000 0.000 0.000 4.531" Properties=species:S:1:pos:R:3 pbc="T T T"
Cs 0.000 0.000 0.000
Sb 3.245 3.245 2.266
I 0.000 3.245 2.266
I 3.245 0.000 2.266
F 3.245 3.245 0.000
```

Summary:
Calculated density = 4.59 Mg/m³
Formation energy without anion corrections = -1.181 eV per atom
Magnetization = 0.55 μB per formula unit

Ba2LaScRh after structural relaxation. Source: Alexandria via LeMat-Bulk, functional PBE.

Geometry as extended XYZ:
```
5
Lattice="6.204 0.000 0.000 0.000 6.204 0.000 0.000 0.000 5.044" Properties=species:S:1:pos:R:3 pbc="T T T"
Ba 0.000 3.102 0.000
Ba 3.102 0.000 0.000
La 0.000 0.000 2.522
Sc 3.102 3.102 2.522
Rh 3.102 3.102 0.000
```

Summary:
Calculated density = 4.80 Mg/m³
E_form = 47.9 kJ/mol of formula units
Magnetization = 0.00 μB per formula unit

DyPu5Pt6 after structural relaxation. Source: Alexandria via LeMat-Bulk, functional PBE.

Geometry as extended XYZ:
```
12
Lattice="-2.479 3.514 7.447 2.479 -3.514 7.447 2.479 3.514 -7.447" Properties=species:S:1:pos:R:3 pbc="T T T"
Dy 0.000 0.000 0.000
Pu 2.479 0.000 2.550
Pu 0.000 0.000 5.008
Pu 0.000 3.514 0.000
Pu 0.000 0.000 9.887
Pu 0.000 3.514 4.898
Pt 2.479 -1.790 5.003
Pt 2.479 1.680 0.000
Pt 0.000 1.724 2.444
Pt 2.479 1.790 5.003
Pt 0.000 1.834 7.447
Pt 0.000 5.304 2.444
```

Summary:
Calculated density = 16.34 Mg/m³
E_form = -894.9 kJ/mol of formula units
Magnetization = 5.37 μB per formula unit